Computed, not measured: an optimized crystal structure of Ba2VAgF at the PBE+U level of DFT.

CIF file:
```
data_Ba2VAgF
_chemical_formula_sum 'Ba2 V1 Ag1 F1'
_cell_length_a 6.361
_cell_length_b 6.361
_cell_length_c 4.972
_cell_angle_alpha 90.00
_cell_angle_beta 90.00
_cell_angle_gamma 90.00
_symmetry_space_group_name_H-M 'P 4/m m m'
_symmetry_Int_Tables_number 123
_symmetry_space_group_name_Hall '-P 4 2'
loop_
_atom_site_label
_atom_site_fract_x
_atom_site_fract_y
_atom_site_fract_z
Ba1 0.000 0.500 0.000
V1 0.000 0.000 0.000
Ag1 0.000 0.000 0.500
F1 0.500 0.500 0.500
```

Results
- electronic total energy (eV/atom) = -3.21
- Fermi-level density of states (states/eV per cell) = 4.6